ZrInP2 | GGA-PBEsol | relaxed

The structure in extended XYZ format:
```
4
Lattice="-1.753 1.828 5.960 1.753 -1.828 5.960 1.753 1.828 -5.960" Properties=species:S:1:pos:R:3 pbc="T T T"
Zr 0.000 0.000 0.000
In 1.753 0.000 3.049
P 0.000 0.000 6.752
P 0.000 1.828 4.014
```

Output
Crystal system: orthorhombic
DOS at the Fermi energy, states/eV/f.u.: 1.34
Magnetic moment, μB per formula unit: 0.00
Energy of formation, eV/atom: -0.5424



PaInRu2 | GGA-PBEsol | relaxed

The structure in extended XYZ format:
```
4
Lattice="0.000 3.297 3.297 3.297 0.000 3.297 3.297 3.297 0.000" Properties=species:S:1:pos:R:3 pbc="T T T"
Pa 0.000 0.000 0.000
In 3.297 3.297 3.297
Ru 1.649 1.649 1.649
Ru 4.946 4.946 4.946
```

Output
Crystal system: cubic
DOS at the Fermi energy, states/eV/f.u.: 1.87
Magnetic moment, μB per formula unit: 0.00
Energy of formation, eV/atom: -0.3269



PaInTc2 | GGA-PBEsol | relaxed

The structure in extended XYZ format:
```
4
Lattice="0.000 3.300 3.300 3.300 0.000 3.300 3.300 3.300 0.000" Properties=species:S:1:pos:R:3 pbc="T T T"
Pa 0.000 0.000 0.000
In 3.300 3.300 3.300
Tc 1.650 1.650 1.650
Tc 4.950 4.950 4.950
```

Output
Crystal system: cubic
DOS at the Fermi energy, states/eV/f.u.: 6.12
Magnetic moment, μB per formula unit: 0.00
Energy of formation, eV/atom: -0.0648



InPb | GGA-PBEsol | relaxed

The structure in extended XYZ format:
```
4
Lattice="3.362 0.000 0.000 0.000 3.362 0.000 0.000 0.000 9.776" Properties=species:S:1:pos:R:3 pbc="T T T"
In 0.840 0.840 1.131
In 2.521 2.521 8.645
Pb 0.840 0.840 6.192
Pb 2.521 2.521 3.584
```

Output
Crystal system: tetragonal
DOS at the Fermi energy, states/eV/f.u.: 0.98
Magnetic moment, μB per formula unit: 0.00
Energy of formation, eV/atom: 0.0094



> Which of these has the highest energy of formation?

InPb